# 1
## CeAgS2 (PBE)

Data for crystalline CeAgS2 at its relaxed geometry.

Values from the calculation:
For the total energy, the calculation gives -5.405 eV per atom. Its density of states at the Fermi level is 1.37 states/eV/atom. For the total moment, the calculation gives 1.7 Bohr magnetons per cell.

Lattice parameters (Å, degrees): 4.094 4.111 11.706 90.00 90.00 90.00
Each line ends with the local moment (μB).
Element x y z (fractional)
1 S 0.000 0.500 0.640  -0.03
2 S 0.000 0.500 0.112  -0.03
3 Ag 0.000 0.000 0.501  -0.01
4 Ce 0.500 0.000 0.138  0.80
5 S 0.500 0.000 0.888  -0.03
6 Ce 0.000 0.500 0.862  0.80
7 S 0.500 0.000 0.360  -0.03
8 Ag 0.500 0.500 0.499  -0.01


# 2
## Nb2InSn2 (PBE)

Data for crystalline Nb2InSn2 at its relaxed geometry.

Values from the calculation:
For the total energy, the calculation gives -6.015 eV per atom. Its density of states at the Fermi level is 0.73 states/eV/atom. The value obtained for the energy of formation from the pure elements is 0.1612 eV/atom. For the total moment, the calculation gives 0.0 Bohr magnetons per cell. The offset from the most stable computed form is 0.70 eV/f.u.

Lattice parameters (Å, degrees): 8.730 8.730 2.983 90.00 90.00 90.00
Element x y z (fractional)
1 Nb 0.388 0.112 0.500
2 Nb 0.112 0.612 0.500
3 Nb 0.612 0.888 0.500
4 Sn 0.323 0.823 0.000
5 Sn 0.677 0.177 0.000
6 Sn 0.177 0.323 0.000
7 Nb 0.888 0.388 0.500
8 Sn 0.823 0.677 0.000
9 In 0.500 0.500 0.000
10 In 0.000 0.000 0.000


# 3
## AlTl2Zn (PBE)

Data for crystalline AlTl2Zn at its relaxed geometry.

Values from the calculation:
For the total energy, the calculation gives -2.162 eV per atom. Its density of states at the Fermi level is 0.52 states/eV/atom. The value obtained for the energy of formation from the pure elements is 0.2755 eV/atom. For the total moment, the calculation gives 0.0 Bohr magnetons per cell.

Lattice parameters (Å, degrees): 3.854 5.602 4.559 90.00 90.00 90.00
Element x y z (fractional)
1 Zn 0.500 0.000 0.500
2 Tl 0.000 0.000 0.000
3 Tl 0.500 0.500 0.000
4 Al 0.000 0.500 0.500


# 4
## AcRhO4 (PBE)

Data for crystalline AcRhO4 at its relaxed geometry.

Values from the calculation:
For the total energy, the calculation gives -6.970 eV per atom. Its density of states at the Fermi level is 0.59 states/eV/atom. For the total moment, the calculation gives 7.9 Bohr magnetons per cell. The offset from the most stable computed form is 0.00 eV/f.u.

Lattice parameters (Å, degrees): 5.743 7.598 7.929 103.38 90.00 90.00
Each line ends with the local moment (μB).
Element x y z (fractional)
1 O 0.012 0.335 0.358  0.19
2 O 0.488 0.335 0.858  0.19
3 O 0.919 0.051 0.720  0.27
4 Rh 0.231 0.169 0.795  0.96
5 Ac 0.771 0.316 0.085  0.03
6 O 0.976 0.615 0.171  0.14
7 O 0.081 0.949 0.280  0.27
8 Ac 0.229 0.684 0.915  0.03
9 O 0.476 0.385 0.329  0.14
10 O 0.668 0.838 0.456  0.19
11 Rh 0.731 0.831 0.705  0.96
12 O 0.832 0.838 0.956  0.19
13 O 0.332 0.162 0.544  0.19
14 O 0.988 0.665 0.642  0.19
15 O 0.512 0.665 0.142  0.19
16 Rh 0.769 0.831 0.205  0.96
17 Ac 0.729 0.316 0.585  0.03
18 Ac 0.271 0.684 0.415  0.03
19 O 0.581 0.051 0.220  0.27
20 O 0.168 0.162 0.044  0.19
21 O 0.524 0.615 0.671  0.14
22 O 0.024 0.385 0.829  0.14
23 Rh 0.269 0.169 0.295  0.96
24 O 0.419 0.949 0.780  0.27


# 5
## BaRhN (PBE)

Data for crystalline BaRhN at its relaxed geometry.

Values from the calculation:
For the total energy, the calculation gives -5.779 eV per atom. Its density of states at the Fermi level is 0.80 states/eV/atom. For the total moment, the calculation gives 0.0 Bohr magnetons per cell.

Lattice parameters (Å, degrees): 4.995 3.619 3.619 120.00 90.00 90.00
Element x y z (fractional)
1 N 0.096 0.667 0.333
2 Rh 0.187 0.000 0.000
3 Ba 0.717 0.333 0.667


# 6
## Y8CdIn2 (PBE)

Data for crystalline Y8CdIn2 at its relaxed geometry.

Values from the calculation:
For the total energy, the calculation gives -5.460 eV per atom. Its density of states at the Fermi level is 1.28 states/eV/atom. The value obtained for the energy of formation from the pure elements is -0.1782 eV/atom. For the total moment, the calculation gives 1.2 Bohr magnetons per cell.

Lattice parameters (Å, degrees): 5.148 8.594 8.895 118.89 106.82 90.00
Each line ends with the local moment (μB).
Element x y z (fractional)
1 In 0.197 0.697 0.394  0.00
2 Y 0.000 0.312 0.000  0.10
3 Cd 0.500 0.000 0.000  0.00
4 Y 0.657 0.873 0.315  0.07
5 Y 0.657 0.441 0.315  0.07
6 Y 0.140 0.140 0.281  0.10
7 In 0.803 0.303 0.606  0.00
8 Y 0.860 0.860 0.719  0.10
9 Y 0.000 0.688 0.000  0.10
10 Y 0.343 0.127 0.685  0.07
11 Y 0.343 0.559 0.685  0.07


# 7
## Nd2AlTe (PBE)

Data for crystalline Nd2AlTe at its relaxed geometry.

Values from the calculation:
For the total energy, the calculation gives -5.028 eV per atom. Its density of states at the Fermi level is 0.76 states/eV/atom. For the total moment, the calculation gives 0.0 Bohr magnetons per cell. The offset from the most stable computed form is 0.00 eV/f.u.

Lattice parameters (Å, degrees): 4.337 4.592 12.332 100.73 90.00 90.00
Element x y z (fractional)
1 Te 0.750 0.806 0.613
2 Nd 0.250 0.063 0.126
3 Nd 0.750 0.937 0.874
4 Al 0.750 0.536 0.071
5 Nd 0.750 0.673 0.345
6 Nd 0.250 0.327 0.655
7 Al 0.250 0.464 0.929
8 Te 0.250 0.194 0.387


# 8
## Mn2ZnSe (PBE)

Data for crystalline Mn2ZnSe at its relaxed geometry.

Values from the calculation:
For the total energy, the calculation gives -5.616 eV per atom. Its density of states at the Fermi level is 0.66 states/eV/atom. For the total moment, the calculation gives 7.5 Bohr magnetons per cell. The offset from the most stable computed form is 0.37 eV/f.u.

Lattice parameters (Å, degrees): 4.832 4.832 4.832 129.50 132.59 71.77
Each line ends with the local moment (μB).
Element x y z (fractional)
1 Mn 0.501 0.501 0.000  3.55
2 Zn 0.750 0.250 0.500  -0.06
3 Mn 0.999 0.999 0.000  3.55
4 Se 0.250 0.750 0.500  0.04